{
  "formula": "TaMn2In",
  "functional": "PBE",
  "state": "relaxed",
  "e_form_ev_per_atom": 0.105,
  "total_energy_ev_per_fu": -32.5,
  "m_tot_mub_per_fu": 2.29,
  "dos_at_fermi_per_ev_cell": 2.53,
  "density_g_cm3": 11.2,
  "cell": [[-2.6551, 1.0830, 1.5777], [-2.4409, -2.7399, -2.2269], [0.5839, -2.9833, 3.0304]],
  "species": ["Ta", "In", "Mn", "Mn"],
  "fractional_positions": [[0.5000, 0.5000, 0.0000], [0.5000, 0.0000, 0.5000], [0.0000, 0.0000, 0.0000], [0.0000, 0.5000, 0.5000]]
}